No. 1
5
Lattice="4.1075 0.0000 0.0000 0.0000 4.1075 0.0000 0.0000 0.0000 5.5778" Properties=species:S:1:pos:R:3 comment="TlSbH2Au | the Alexandria database | PBE | optimized geometry" total_energy_ev_per_cell=-15.4 m_tot_mub_per_fu=0.00 pbc="T T T"
Tl 2.0537 2.0537 2.7889
Sb 0.0000 0.0000 0.0000
H 0.0000 2.0537 0.0000
Au 0.0000 0.0000 2.7889
H 2.0537 0.0000 0.0000

No. 2
5
Lattice="5.8462 0.0000 0.0000 0.0000 5.8462 0.0000 0.0000 0.0000 3.5247" Properties=species:S:1:pos:R:3 comment="Tl2SbHAu | the Alexandria database | PBE | optimized geometry" total_energy_ev_per_cell=-14.9 m_tot_mub_per_fu=0.00 pbc="T T T"
H 0.0000 0.0000 1.7624
Tl 0.0000 2.9231 0.0000
Sb 2.9231 2.9231 1.7624
Au 0.0000 0.0000 0.0000
Tl 2.9231 0.0000 0.0000

No. 3
5
Lattice="5.4228 0.0000 0.0000 0.0000 5.4228 0.0000 0.0000 0.0000 3.8449" Properties=species:S:1:pos:R:3 comment="TlSbHAu2 | the Alexandria database | PBE | optimized geometry" total_energy_ev_per_cell=-15.9 m_tot_mub_per_fu=0.00 pbc="T T T"
Au 0.0000 2.7114 0.0000
H 0.0000 0.0000 1.9224
Tl 2.7114 2.7114 1.9224
Au 2.7114 0.0000 0.0000
Sb 0.0000 0.0000 0.0000

No. 4
11
Lattice="-2.4570 2.0215 2.3322 -0.3566 -3.1469 2.3521 10.4255 4.2523 3.9614" Properties=species:S:1:pos:R:3 comment="U2Sb3H4Au2 | the Alexandria database | PBE | optimized geometry" total_energy_ev_per_cell=-55.5 m_tot_mub_per_fu=3.69 pbc="T T T"
Au 2.3468 0.9729 4.9657
H 1.5547 -0.8645 2.3873
Sb 4.5507 1.8745 6.5060
H 6.0572 3.9914 6.2583
U -0.0540 -0.0093 3.2876
Sb 3.0612 1.2523 2.1396
Sb 0.0000 0.0000 0.0000
H 0.5044 1.7197 2.3773
U 7.6659 3.1361 5.3580
H 7.1074 1.4071 6.2683
Au 5.2650 2.1539 3.6799

No. 5
5
Lattice="4.4319 0.0000 0.0000 0.0000 4.4319 0.0000 0.0000 0.0000 4.6262" Properties=species:S:1:pos:R:3 comment="YSbHAu2 | the Alexandria database | PBE | optimized geometry" total_energy_ev_per_cell=-22.3 m_tot_mub_per_fu=0.00 pbc="T T T"
Au 2.2159 0.0000 0.0000
H 0.0000 0.0000 0.0000
Y 0.0000 0.0000 2.3131
Sb 2.2159 2.2159 2.3131
Au 0.0000 2.2159 0.0000

No. 6
4
Lattice="2.2853 -1.0118 3.1316 -1.5151 -2.2656 2.9368 1.2270 -3.7883 0.4437" Properties=species:S:1:pos:R:3 comment="ScH2Au | the Alexandria database | PBE | optimized geometry" total_energy_ev_per_cell=-16.9 m_tot_mub_per_fu=0.00 pbc="T T T"
Sc 0.0000 0.0000 0.0000
H 0.4993 -1.7664 1.6280
Au 0.9986 -3.5328 3.2561
H 1.4979 -5.2993 4.8841